LiPtF4 | GGA-PBE | relaxed

Formation energy without anion corrections ... -1.76 eV per atom
Size of the total moment ... 2.012 μB/cell
D(E_F) ... 0.04 states/eV per cell

Geometry as POSCAR:
```
LiPtF4
1.0
5.683 -0.364 1.768
-3.179 4.710 1.807
-0.173 -0.346 5.848
F Pt Li
8 2 2
Direct
0.691 0.102 0.948
0.190 0.613 0.953
0.639 0.550 0.052
0.113 0.691 0.453
0.566 0.644 0.547
0.602 0.191 0.448
0.050 0.139 0.552
0.144 0.066 0.047
0.618 0.868 0.750
0.368 0.118 0.250
0.134 0.384 0.750
0.884 0.634 0.250
```